The following is a DFT calculation (PBE-GGA) of a geometry-optimized MoPtPb2 structure.

Values from the calculation:
Spin magnetization in μB/f.u.: 0.00
DFT total energy in eV/f.u.: -22.627
ΔE to the lowest computed polymorph in kJ per mole of atoms: 25.23

abc: 4.7517 4.7517 3.5749
angles: 90.00 90.00 90.00
Positions (direct):
Mo1 0.0000 0.0000 0.0000
Pt1 0.5000 0.5000 0.0000
Pb1 0.0000 0.5000 0.5000
Pb2 0.5000 0.0000 0.5000